(1)
LuZn4Fe (PBE, optimized geometry); total DFT energy (no corrections) = -3.13 eV/atom; DOS(E_F) = 4.50 states/eV/f.u.
1.0
0.000 3.592 3.592
3.592 0.000 3.592
3.592 3.592 0.000
Lu Zn Fe
1 4 1
Direct
0.000 0.000 0.000 Lu
0.376 0.376 0.376 Zn
0.376 0.376 0.872 Zn
0.376 0.872 0.376 Zn
0.872 0.376 0.376 Zn
0.750 0.750 0.750 Fe

***

(2)
CuAg2Pd (PBE, optimized geometry); total DFT energy (no corrections) = -3.75 eV/atom; DOS(E_F) = 1.00 states/eV/f.u.
1.0
3.951 0.000 0.000
0.000 3.951 0.000
0.000 0.000 4.068
Cu Ag Pd
1 2 1
Direct
0.000 0.000 0.000 Cu
0.000 0.500 0.500 Ag
0.500 0.000 0.500 Ag
0.500 0.500 0.000 Pd

***

(3)
YCuBiRh2 (PBE, optimized geometry); total DFT energy (no corrections) = -4.98 eV/atom; DOS(E_F) = 4.30 states/eV/f.u.
1.0
4.937 0.000 0.000
0.000 4.937 0.000
0.000 0.000 5.005
Y Cu Bi Rh
1 1 1 2
Direct
0.000 0.000 0.000 Y
0.000 0.000 0.500 Cu
0.500 0.500 0.500 Bi
0.000 0.500 0.000 Rh
0.500 0.000 0.000 Rh

***

(4)
SrAsHRh (PBE, optimized geometry); total DFT energy (no corrections) = -5.02 eV/atom; DOS(E_F) = 2.22 states/eV/f.u.
1.0
4.129 0.000 0.000
0.000 4.129 0.000
0.000 0.000 8.431
Sr As H Rh
2 2 2 2
Direct
0.250 0.250 0.156 Sr
0.750 0.750 0.844 Sr
0.250 0.250 0.664 As
0.750 0.750 0.336 As
0.250 0.750 0.000 H
0.750 0.250 0.000 H
0.250 0.750 0.500 Rh
0.750 0.250 0.500 Rh

***

What did the first record say?
LuZn4Fe (PBE, optimized geometry); total DFT energy (no corrections) = -3.13 eV/atom; DOS(E_F) = 4.50 states/eV/f.u.
1.0
0.000 3.592 3.592
3.592 0.000 3.592
3.592 3.592 0.000
Lu Zn Fe
1 4 1
Direct
0.000 0.000 0.000 Lu
0.376 0.376 0.376 Zn
0.376 0.376 0.872 Zn
0.376 0.872 0.376 Zn
0.872 0.376 0.376 Zn
0.750 0.750 0.750 Fe